Rh2C, optimized geometry, DFT PBE; N(E_F) = 0.668 states/eV/atom; distance to the lowest polymorph of the same formula = 341 meV/atom; density = 9618 kg/m³; M_tot = 0.00 μB per cell; energy of formation = 533 meV per atom; V = 12.54 A^3/atom
1.0
-1.827 5.068 -0.732
-0.817 -5.353 -0.489
-2.049 -0.095 4.460
Rh C
4 2
Cartesian
-2.039 1.949 0.455
-1.779 -0.737 0.518
-2.914 0.357 2.721
-2.654 -2.328 2.784
-3.284 4.180 2.632
-1.408 -4.559 0.607


ReTcAu2, optimized geometry, DFT PBE; N(E_F) = 1.319 states/eV/atom; distance to the lowest polymorph of the same formula = 549 meV/atom; density = 17132 kg/m³; M_tot = 0.05 μB per cell; energy of formation = 683 meV per atom; V = 16.43 A^3/atom
1.0
4.530 0.000 0.000
2.265 3.923 0.000
2.265 1.308 3.699
Au Re Tc
2 1 1
Cartesian
0.000 0.000 0.000
6.795 3.923 2.774
4.530 2.615 1.849
2.265 1.308 0.925


Ta2Be2Ni, optimized geometry, DFT PBE; N(E_F) = 0.356 states/eV/atom; density = 11610 kg/m³; M_tot = 0.00 μB per cell; energy of formation = -263 meV per atom; V = 12.55 A^3/atom
1.0
5.881 0.000 0.000
0.000 5.881 0.000
0.000 0.000 3.627
Ni Ta Be
2 4 4
Cartesian
2.941 2.941 0.000
0.000 0.000 0.000
1.920 1.020 1.814
4.861 1.920 1.814
3.961 4.861 1.814
1.020 3.961 1.814
5.127 3.696 0.000
3.696 0.755 0.000
2.186 5.127 0.000
0.755 2.186 0.000


KUCu2S4, optimized geometry, DFT PBE; ΔE_f (raw) = -0.7071 eV/atom; N(E_F) = 0.775 states/eV/atom; density = 4548 kg/m³; M_tot = 1.00 μB per cell; V = 24.30 A^3/atom
1.0
6.394 0.000 0.000
3.197 5.526 0.027
3.197 0.480 5.505
S U K Cu
4 1 1 2
Cartesian
4.874 0.956 2.744
7.913 2.813 0.728
4.874 5.050 2.789
7.914 3.193 4.805
6.394 3.003 2.766
0.000 0.000 0.000
9.590 3.938 3.627
3.197 2.068 1.905


ErTmS3, optimized geometry, DFT PBE; ΔE_f (raw) = -2.0106 eV/atom; N(E_F) = 0.000 states/eV/atom; distance to the lowest polymorph of the same formula = 17 meV/atom; density = 6122 kg/m³; M_tot = 0.00 μB per cell; V = 23.46 A^3/atom
1.0
-2.412 -0.133 -3.236
-7.888 -1.307 3.414
-5.209 6.156 1.111
S Tm Er
6 2 2
Cartesian
-3.481 1.673 0.006
-6.646 0.372 -0.101
-8.863 4.344 1.389
-5.235 4.550 1.196
-10.274 0.165 0.093
-12.028 3.043 1.282
-4.293 -0.260 -1.829
-11.216 4.976 3.117
-9.595 1.820 2.039
-5.914 2.896 -0.750


Rb2Sb2P, optimized geometry, DFT PBE; ΔE_f (raw) = -0.0880 eV/atom; N(E_F) = 0.612 states/eV/atom; density = 4364 kg/m³; M_tot = 0.00 μB per cell; V = 33.90 A^3/atom
1.0
7.562 0.000 0.000
0.000 7.562 0.000
0.000 0.000 5.928
Rb P Sb
4 2 4
Cartesian
5.113 6.230 2.964
2.449 1.332 2.964
6.230 2.449 2.964
1.332 5.113 2.964
3.781 3.781 0.000
0.000 0.000 0.000
1.035 2.746 0.000
2.746 6.527 0.000
6.527 4.816 0.000
4.816 1.035 0.000


DyHoCuTc, optimized geometry, DFT PBE; N(E_F) = 0.836 states/eV/atom; density = 10030 kg/m³; M_tot = 0.00 μB per cell; energy of formation = -109 meV per atom; V = 20.24 A^3/atom
1.0
-0.441 -3.639 3.185
3.958 -2.286 1.637
1.429 0.613 4.600
Ho Tc Dy Cu
1 1 1 1
Cartesian
0.000 0.000 0.000
3.710 -3.984 7.066
2.473 -2.656 4.711
1.237 -1.328 2.355


FeRuW2, optimized geometry, DFT PBE; N(E_F) = 0.861 states/eV/atom; distance to the lowest polymorph of the same formula = 86 meV/atom; density = 14840 kg/m³; M_tot = 2.29 μB per cell; energy of formation = 197 meV per atom; V = 14.67 A^3/atom
1.0
-4.801 -0.231 1.685
-2.064 -4.642 0.359
3.825 2.972 1.573
W Fe Ru
2 1 1
Cartesian
-6.824 -4.844 2.032
-2.181 0.168 2.133
-3.496 -2.482 1.041
-0.837 -2.054 1.477


LiCoSi, optimized geometry, DFT PBE; ΔE_f (raw) = -0.2298 eV/atom; N(E_F) = 0.424 states/eV/atom; density = 3739 kg/m³; M_tot = 1.07 μB per cell; V = 13.91 A^3/atom
1.0
-2.224 -1.661 0.434
1.700 -2.034 0.929
-0.622 5.606 9.162
Li Si Co
2 2 2
Cartesian
-0.389 -1.307 2.096
-0.757 3.219 8.430
-0.872 0.749 7.480
-0.273 1.163 3.045
-0.510 2.170 5.681
-0.635 -0.258 4.844


YZnFe, optimized geometry, DFT PBE; N(E_F) = 1.502 states/eV/atom; density = 5982 kg/m³; M_tot = 1.68 μB per cell; energy of formation = -10 meV per atom; V = 19.44 A^3/atom
1.0
4.251 0.000 0.000
-2.126 3.682 0.000
0.000 0.000 3.727
Fe Y Zn
1 1 1
Cartesian
0.000 0.000 3.105
0.000 2.455 1.243
2.126 1.227 3.105


Al2TcAs, optimized geometry, DFT PBE; N(E_F) = 0.619 states/eV/atom; density = 6308 kg/m³; M_tot = 0.00 μB per cell; energy of formation = -227 meV per atom; V = 14.93 A^3/atom
1.0
3.330 0.000 0.000
0.000 3.330 0.000
0.000 0.000 5.387
Al As Tc
2 1 1
Cartesian
0.000 0.000 5.337
0.000 0.000 2.743
1.665 1.665 1.347
1.665 1.665 4.040


Li2Y2ThPb2, optimized geometry, DFT PBE; N(E_F) = 0.586 states/eV/atom; density = 7488 kg/m³; M_tot = 0.00 μB per cell; energy of formation = -249 meV per atom; V = 26.55 A^3/atom
1.0
-2.992 3.729 1.016
-4.470 -0.868 1.776
0.772 1.289 9.297
Li Y Pb Th
2 2 2 1
Cartesian
-2.461 2.166 8.315
-4.229 1.984 3.774
-0.492 1.159 6.053
-6.198 2.991 6.037
-4.896 3.125 9.378
-1.794 1.025 2.711
0.000 0.000 0.000


Fe4MoW, optimized geometry, DFT PBE; N(E_F) = 1.638 states/eV/atom; density = 11267 kg/m³; M_tot = 5.03 μB per cell; energy of formation = 10 meV per atom; V = 12.36 A^3/atom
1.0
4.716 0.000 0.000
2.358 4.084 0.000
2.358 1.361 3.850
Fe Mo W
4 1 1
Cartesian
4.716 2.723 3.370
5.895 2.042 1.444
3.537 2.042 1.444
4.716 4.084 1.444
7.074 4.084 2.888
0.000 0.000 0.000


Y4PPd12, optimized geometry, DFT PBE; N(E_F) = 0.223 states/eV/atom; density = 9237 kg/m³; M_tot = 0.00 μB per cell; energy of formation = -895 meV per atom; V = 17.59 A^3/atom
1.0
-4.587 5.331 -1.943
0.192 -5.074 -5.240
-2.289 -3.026 6.233
Pd Y P
12 4 1
Cartesian
-1.521 -5.876 0.720
-1.207 0.071 -1.972
-3.962 -0.872 2.393
-3.189 0.187 -5.212
-2.147 -3.986 -1.300
-2.722 -1.896 -3.344
-3.917 0.705 -2.520
-4.988 1.672 3.112
-4.537 1.217 0.349
-1.888 0.633 1.177
-0.576 -2.224 0.272
-2.767 -3.474 1.569
-3.342 -1.384 -0.476
-2.294 2.666 -0.972
-1.144 -1.513 3.116
0.096 -2.537 -2.620
0.000 0.000 0.000


SmDyCuHg, optimized geometry, DFT PBE; N(E_F) = 0.522 states/eV/atom; distance to the lowest polymorph of the same formula = 24 meV/atom; density = 9848 kg/m³; M_tot = 0.00 μB per cell; energy of formation = -313 meV per atom; V = 24.32 A^3/atom
1.0
-0.393 3.769 -3.506
-3.752 3.522 0.407
1.153 4.862 1.297
Dy Hg Cu Sm
1 1 1 1
Cartesian
0.000 0.000 0.000
-2.244 9.115 -1.352
-0.748 3.038 -0.451
-1.496 6.077 -0.901


Mg3MoSe, optimized geometry, DFT PBE; ΔE_f (raw) = 1.0176 eV/atom; N(E_F) = 1.140 states/eV/atom; distance to the lowest polymorph of the same formula = 368 meV/atom; density = 2816 kg/m³; M_tot = 3.19 μB per cell; V = 29.23 A^3/atom
1.0
5.267 0.000 0.000
0.000 5.267 0.000
0.000 0.000 5.267
Mg Mo Se
3 1 1
Cartesian
0.000 0.000 2.634
0.000 2.634 0.000
2.634 0.000 0.000
0.000 0.000 0.000
2.634 2.634 2.634


Tb3Y2HoAs6, optimized geometry, DFT PBE; N(E_F) = 0.151 states/eV/atom; density = 7066 kg/m³; M_tot = 0.00 μB per cell; energy of formation = -1545 meV per atom; V = 24.85 A^3/atom
1.0
4.128 0.000 0.000
0.000 8.247 0.297
-2.064 -2.373 8.675
As Y Tb Ho
6 2 3 1
Cartesian
0.000 5.975 6.066
2.064 3.826 8.897
0.000 1.858 5.905
2.064 4.015 3.067
0.000 2.048 0.075
2.064 -0.102 2.905
2.064 3.917 5.984
0.000 1.956 2.988
2.064 4.123 0.149
2.064 -0.207 5.831
0.000 6.081 3.141
2.064 0.000 0.000